# PBE MgOsPb, relaxed
# Formation energy from the elements: 0.670 eV per atom
# Total DFT energy (no corrections): -4.8406 eV per atom
# Total magnetization: 0.03 μB/cell
data_MgOsPb
_symmetry_space_group_name_H-M 'F m m 2'
_symmetry_Int_Tables_number 42
_symmetry_space_group_name_Hall 'F 2 -2'
_cell_length_a 3.451
_cell_length_b 5.067
_cell_length_c 14.262
_cell_angle_alpha 90.00
_cell_angle_beta 90.00
_cell_angle_gamma 90.00
loop_
_atom_site_label
_atom_site_type_symbol
_atom_site_fract_x
_atom_site_fract_y
_atom_site_fract_z
_atom_site_occupancy
Mg1 Mg 0.000 0.000 0.000 1
Os1 Os 0.000 0.000 0.639 1
Pb1 Pb 0.000 0.000 0.294 1



# PBE MgOsPb, relaxed
# Formation energy from the elements: 0.568 eV per atom
# Total DFT energy (no corrections): -4.9426 eV per atom
# Total magnetization: 0.01 μB/cell
data_MgOsPb
_symmetry_space_group_name_H-M 'P 3 m 1'
_symmetry_Int_Tables_number 156
_cell_length_a 3.1587
_cell_length_b 3.1587
_cell_length_c 7.0191
_cell_angle_alpha 90.00
_cell_angle_beta 90.00
_cell_angle_gamma 120.00
loop_
_symmetry_equiv_pos_as_xyz
'x,y,z'
'-y,x-y,z'
'-x+y,-x,z'
'-y,-x,z'
'-x+y,y,z'
'x,x-y,z'
loop_
_atom_site_label
_atom_site_type_symbol
_atom_site_fract_x
_atom_site_fract_y
_atom_site_fract_z
_atom_site_occupancy
Mg1 Mg 0.0000 0.0000 0.0000 1
Os1 Os 0.6667 0.3333 0.2848 1
Pb1 Pb 0.3333 0.6667 0.6003 1



# PBE MgOsPb, relaxed
# Formation energy from the elements: 0.518 eV per atom
# Total DFT energy (no corrections): -4.9926 eV per atom
# Total magnetization: 0.00 μB/cell
data_MgOsPb
_symmetry_space_group_name_H-M 'F -4 3 m'
_symmetry_Int_Tables_number 216
_symmetry_space_group_name_Hall 'F -4 2 3'
_cell_length_a 6.416
_cell_length_b 6.416
_cell_length_c 6.416
_cell_angle_alpha 90.00
_cell_angle_beta 90.00
_cell_angle_gamma 90.00
loop_
_atom_site_label
_atom_site_type_symbol
_atom_site_fract_x
_atom_site_fract_y
_atom_site_fract_z
_atom_site_occupancy
Mg1 Mg 0.000 0.000 0.000 1
Os1 Os 0.250 0.250 0.250 1
Pb1 Pb 0.000 0.000 0.500 1



# PBE Rb2MgOsPb, relaxed
# Formation energy from the elements: 1.053 eV per atom
# Total DFT energy (no corrections): -2.6401 eV per atom
# Total magnetization: 1.42 μB/cell
data_Rb2MgOsPb
_symmetry_space_group_name_H-M 'P 4/m m m'
_symmetry_Int_Tables_number 123
_symmetry_space_group_name_Hall '-P 4 2'
_cell_length_a 7.085
_cell_length_b 7.085
_cell_length_c 5.123
_cell_angle_alpha 90.00
_cell_angle_beta 90.00
_cell_angle_gamma 90.00
loop_
_atom_site_label
_atom_site_type_symbol
_atom_site_fract_x
_atom_site_fract_y
_atom_site_fract_z
_atom_site_occupancy
Rb1 Rb 0.000 0.500 0.000 1
Mg1 Mg 0.000 0.000 0.500 1
Os1 Os 0.500 0.500 0.500 1
Pb1 Pb 0.500 0.500 0.000 1



# PBE MgOs2RhPb, relaxed
# Formation energy from the elements: 2.164 eV per atom
# Total DFT energy (no corrections): -4.8587 eV per atom
# Total magnetization: 0.65 μB/cell
data_MgOs2RhPb
_symmetry_space_group_name_H-M 'P 4/m m m'
_symmetry_Int_Tables_number 123
_symmetry_space_group_name_Hall '-P 4 2'
_cell_length_a 4.529
_cell_length_b 4.529
_cell_length_c 4.888
_cell_angle_alpha 90.00
_cell_angle_beta 90.00
_cell_angle_gamma 90.00
loop_
_atom_site_label
_atom_site_type_symbol
_atom_site_fract_x
_atom_site_fract_y
_atom_site_fract_z
_atom_site_occupancy
Mg1 Mg 0.000 0.000 0.000 1
Os1 Os 0.000 0.500 0.000 1
Rh1 Rh 0.500 0.500 0.500 1
Pb1 Pb 0.000 0.000 0.500 1



# PBE MgSc2OsPb, relaxed
# Formation energy from the elements: 0.900 eV per atom
# Total DFT energy (no corrections): -4.9391 eV per atom
# Total magnetization: 0.00 μB/cell
data_MgSc2OsPb
_symmetry_space_group_name_H-M 'P 4/m m m'
_symmetry_Int_Tables_number 123
_symmetry_space_group_name_Hall '-P 4 2'
_cell_length_a 5.336
_cell_length_b 5.336
_cell_length_c 4.738
_cell_angle_alpha 90.00
_cell_angle_beta 90.00
_cell_angle_gamma 90.00
loop_
_atom_site_label
_atom_site_type_symbol
_atom_site_fract_x
_atom_site_fract_y
_atom_site_fract_z
_atom_site_occupancy
Mg1 Mg 0.000 0.000 0.000 1
Sc1 Sc 0.000 0.500 0.000 1
Os1 Os 0.000 0.000 0.500 1
Pb1 Pb 0.500 0.500 0.500 1



Q: Which formula does entry 5 have?
A: MgOs2RhPb